Entry from Alexandria: a relaxed structure of YCdSb2 (PBE-GGA).

Summary:
Raw formation energy ... -0.51 eV/atom
Electronic total energy ... -17.649 eV for the cell shown
Crystal system ... monoclinic

```
YCdSb2
1.0
6.0116 -0.0350 0.0381
4.5326 3.9493 0.0381
0.9845 0.3655 4.4923
Cd Sb Y
1 2 1
Cartesian
8.6542 3.2127 3.6510
11.3592 4.2169 4.2813
2.9043 1.0782 1.5547
5.9041 2.1918 1.9343
```

---

Entry from Alexandria: a relaxed structure of YbCd2Sb2 (PBE-GGA).

Summary:
Raw formation energy ... -0.45 eV/atom
Electronic total energy ... -13.841 eV for the cell shown
Crystal system ... trigonal

```
YbCd2Sb2
1.0
-4.5716 -0.4107 -1.1248
2.0417 -3.2115 2.8018
-1.8470 4.0764 6.0184
Yb Cd Sb
1 2 2
Cartesian
0.0000 0.0000 0.0000
-3.0458 0.1536 2.3955
-1.3310 0.3006 5.2999
-3.7867 1.7887 4.8096
-0.5901 -1.3345 2.8858
```

---

Entry from Alexandria: a relaxed structure of ZnCdSb2 (PBE-GGA).

Summary:
Raw formation energy ... 0.10 eV/atom
Electronic total energy ... -10.032 eV for the cell shown
Relative energy among the computed polymorphs ... 0.119 eV/atom
Crystal system ... monoclinic

```
ZnCdSb2
1.0
-0.4011 3.6537 2.4583
1.0757 0.3460 4.2752
6.1507 2.8380 0.1671
Cd Sb Zn
1 2 1
Cartesian
5.1190 5.1283 5.1755
0.2218 0.1613 0.1132
3.1908 3.2576 3.3371
1.7063 1.7094 1.7252
```

---

Entry from Alexandria: a relaxed structure of Zn2Cd2Sb (PBE-GGA).

Summary:
Raw formation energy ... 0.15 eV/atom
Electronic total energy ... -7.758 eV for the cell shown
Relative energy among the computed polymorphs ... 0.010 eV/atom
Crystal system ... tetragonal

```
Zn2Cd2Sb
1.0
-1.7582 -2.2539 -2.9821
0.7812 -3.4443 2.1426
-6.1352 -2.3115 2.5031
Sb Zn Cd
1 2 2
Cartesian
0.0000 0.0000 0.0000
-1.5722 -2.7459 0.1412
-5.5400 -5.2638 1.5224
-4.1910 -3.7072 -0.4494
-2.9213 -4.3024 2.1130
```

---

Entry from Alexandria: a relaxed structure of ZnCdSb2 (PBE-GGA).

Summary:
Raw formation energy ... 0.16 eV/atom
Electronic total energy ... -9.783 eV for the cell shown
Relative energy among the computed polymorphs ... 0.181 eV/atom
Crystal system ... orthorhombic

```
ZnCdSb2
1.0
3.4882 -0.0457 0.0000
-0.9557 3.3550 0.0000
0.0000 0.0000 8.4344
Cd Sb Zn
1 2 1
Cartesian
1.2662 1.6547 6.3258
0.0000 0.0000 0.1707
0.0000 0.0000 4.0465
1.2662 1.6547 2.1086
```

---

Entry from Alexandria: a relaxed structure of ZnCd2Sb (PBE-GGA).

Summary:
Raw formation energy ... 0.12 eV/atom
Electronic total energy ... -6.730 eV for the cell shown
Relative energy among the computed polymorphs ... 0.035 eV/atom
Crystal system ... orthorhombic

```
ZnCd2Sb
1.0
3.2197 -0.1354 0.0000
-0.6094 3.1644 0.0000
0.0000 0.0000 9.1062
Cd Sb Zn
2 1 1
Cartesian
0.0000 0.0000 8.9161
1.3052 1.5145 2.1597
0.0000 0.0000 4.7703
1.3052 1.5145 6.9193
```

---

Entry from Alexandria: a relaxed structure of ZnCd4Sb (PBE-GGA).

Summary:
Raw formation energy ... 0.21 eV/atom
Electronic total energy ... -7.793 eV for the cell shown
Crystal system ... cubic

```
ZnCd4Sb
1.0
-3.1581 -4.9571 -0.3450
-5.6486 0.2168 -1.6468
-1.6164 -2.1008 -5.2573
Zn Cd Sb
1 4 1
Cartesian
0.0000 0.0000 0.0000
-5.4882 -5.0468 -2.8897
-4.7160 -3.6162 -5.3501
-6.7356 -2.4554 -3.5417
-3.9064 -2.5639 -2.7169
-7.8173 -5.1308 -5.4369
```

---

Entry from Alexandria: a relaxed structure of ZnCd2Sb (PBE-GGA).

Summary:
Raw formation energy ... 0.13 eV/atom
Electronic total energy ... -6.690 eV for the cell shown
Relative energy among the computed polymorphs ... 0.045 eV/atom
Crystal system ... tetragonal

```
ZnCd2Sb
1.0
-2.3431 -2.1339 0.0370
2.1101 -2.3079 0.5157
-0.9134 1.1577 8.9190
Cd Sb Zn
2 1 1
Cartesian
-0.8950 1.1344 8.7398
-0.3283 -1.9524 2.3447
-0.4758 0.6031 4.6465
-0.8172 -1.3327 7.1191
```

---

Entry from Alexandria: a relaxed structure of ZnCdSb2 (PBE-GGA).

Summary:
Raw formation energy ... 0.23 eV/atom
Electronic total energy ... -9.501 eV for the cell shown
Relative energy among the computed polymorphs ... 0.252 eV/atom
Crystal system ... cubic

```
ZnCdSb2
1.0
-2.3333 -3.6779 2.7346
1.0464 -0.5371 5.0066
-3.5354 1.2611 3.5157
Sb Zn Cd
2 1 1
Cartesian
-1.2056 -0.7385 2.8142
-3.6167 -2.2155 8.4426
0.0000 0.0000 0.0000
-2.4111 -1.4770 5.6284
```

---

Entry from Alexandria: a relaxed structure of ZnCdSb2 (PBE-GGA).

Summary:
Raw formation energy ... 0.07 eV/atom
Electronic total energy ... -40.565 eV for the cell shown
Relative energy among the computed polymorphs ... 0.092 eV/atom
Crystal system ... orthorhombic

```
ZnCdSb2
1.0
6.6451 0.0000 0.0000
0.0000 5.5295 0.2074
0.0000 -0.4306 11.4959
Zn Cd Sb
4 4 8
Cartesian
0.6422 2.5041 7.0590
6.0030 2.5947 4.6443
0.6422 -0.3854 10.2885
6.0030 5.4842 1.4148
2.9018 -0.1509 4.0581
3.7434 5.2497 7.6451
2.9018 2.7003 1.7935
3.7434 2.3985 9.9098
4.4070 -0.3928 10.5150
2.2381 5.4916 1.1883
4.4070 2.5116 6.8325
2.2381 2.5872 4.8708
5.8581 2.6956 1.9472
0.7870 2.4032 9.7561
5.8581 -0.1462 3.9044
0.7870 5.2450 7.7989
```

---

Entry from Alexandria: a relaxed structure of ZnCd2Sb (PBE-GGA).

Summary:
Raw formation energy ... 0.13 eV/atom
Electronic total energy ... -6.711 eV for the cell shown
Relative energy among the computed polymorphs ... 0.040 eV/atom
Crystal system ... orthorhombic

```
ZnCd2Sb
1.0
-0.3543 -4.6811 2.7442
4.6352 -0.3628 2.8200
-3.9934 3.6778 -0.3087
Cd Sb Zn
2 1 1
Cartesian
0.0728 -0.0858 0.0947
-1.0912 -1.7773 2.6250
2.0550 -2.4212 2.6710
1.3913 0.3964 2.6469
```

---

Entry from Alexandria: a relaxed structure of ZnCdSb2 (PBE-GGA).

Summary:
Raw formation energy ... 0.18 eV/atom
Electronic total energy ... -9.701 eV for the cell shown
Relative energy among the computed polymorphs ... 0.202 eV/atom
Crystal system ... orthorhombic

```
ZnCdSb2
1.0
3.2644 -0.0456 0.0000
-0.7736 3.1718 0.0000
0.0000 0.0000 9.2915
Cd Sb Zn
1 2 1
Cartesian
1.2454 1.5631 6.6988
0.0000 0.0000 9.1453
1.2454 1.5631 2.6550
0.0000 0.0000 4.7296
```